1.
# Nd3TeSe

A relaxed Nd3TeSe crystal (GGA-PBE, Alexandria via LeMat-Bulk).

Unit cell a=4.216 b=7.270 c=12.280 alpha=115.30 beta=90.00 gamma=90.00
Positions (direct):
Nd: 0.250 0.243 0.929
Nd: 0.750 0.757 0.071
Nd: 0.250 0.212 0.434
Nd: 0.750 0.788 0.566
Nd: 0.250 0.547 0.759
Nd: 0.750 0.453 0.241
Te: 0.250 0.110 0.152
Te: 0.750 0.890 0.848
Se: 0.250 0.112 0.651
Se: 0.750 0.888 0.349

Summary:
The energy relative to the elements, uncorrected is -1.055 eV per atom. Its symmetry is No. 11.



2.
# Nd6TeSe4

A relaxed Nd6TeSe4 crystal (GGA-PBE, Alexandria via LeMat-Bulk).

Unit cell a=4.170 b=7.258 c=21.563 alpha=90.00 beta=90.00 gamma=106.69
Last column: magnetic moment on the atom in μB.
Positions (direct):
Nd: 0.500 0.000 0.000  -0.01
Nd: 0.500 0.000 0.500  -0.01
Nd: 0.055 0.110 0.336  0.07
Nd: 0.945 0.890 0.664  0.07
Nd: 0.945 0.890 0.836  0.07
Nd: 0.055 0.110 0.164  0.07
Nd: 0.772 0.544 0.404  0.01
Nd: 0.228 0.456 0.596  0.01
Nd: 0.228 0.456 0.904  0.01
Nd: 0.772 0.544 0.096  0.01
Nd: 0.348 0.696 0.250  0.03
Nd: 0.652 0.304 0.750  0.03
Te: 0.677 0.355 0.250  0.00
Te: 0.323 0.645 0.750  0.00
Se: 0.856 0.713 0.537  0.00
Se: 0.417 0.834 0.124  0.00
Se: 0.144 0.287 0.463  0.00
Se: 0.583 0.166 0.876  0.00
Se: 0.856 0.713 0.963  0.00
Se: 0.144 0.287 0.037  0.00
Se: 0.583 0.166 0.624  0.00
Se: 0.417 0.834 0.376  0.00

Summary:
The energy relative to the elements, uncorrected is -1.576 eV per atom. Its symmetry is No. 63.



3.
# Nd2TeSe2

A relaxed Nd2TeSe2 crystal (GGA-PBE, Alexandria via LeMat-Bulk).

Unit cell a=5.393 b=8.625 c=8.037 alpha=83.95 beta=70.50 gamma=71.76
Positions (direct):
Nd: 0.494 0.750 0.011
Nd: 0.744 0.250 0.511
Nd: 0.506 0.250 0.989
Nd: 0.256 0.750 0.489
Te: 0.874 0.750 0.250
Te: 0.126 0.250 0.750
Se: 0.526 0.447 0.250
Se: 0.777 0.946 0.750
Se: 0.223 0.054 0.250
Se: 0.474 0.553 0.750

Summary:
The energy relative to the elements, uncorrected is -1.439 eV per atom. The energy above the most stable polymorph in this dataset comes out at 153 meV per atom. Its symmetry is No. 2.



4.
# Nd3Te5Se12

A relaxed Nd3Te5Se12 crystal (GGA-PBE, Alexandria via LeMat-Bulk).

Unit cell a=14.877 b=14.877 c=14.877 alpha=109.47 beta=109.47 gamma=109.47
Positions (direct):
Nd: 0.750 0.375 0.125
Nd: 0.875 0.750 0.125
Nd: 0.375 0.750 0.625
Nd: 0.250 0.125 0.375
Nd: 0.875 0.125 0.250
Nd: 0.375 0.625 0.250
Nd: 0.625 0.375 0.750
Nd: 0.125 0.875 0.750
Nd: 0.750 0.875 0.625
Nd: 0.625 0.250 0.375
Nd: 0.125 0.250 0.875
Nd: 0.250 0.625 0.875
Te: 0.125 0.375 0.250
Te: 0.000 0.500 0.000
Te: 0.000 0.000 0.000
Te: 0.375 0.250 0.125
Te: 0.500 0.000 0.500
Te: 0.500 0.500 0.000
Te: 0.125 0.750 0.375
Te: 0.750 0.125 0.875
Te: 0.750 0.625 0.375
Te: 0.375 0.125 0.750
Te: 0.625 0.875 0.250
Te: 0.500 0.500 0.500
Te: 0.500 0.000 0.000
Te: 0.000 0.000 0.500
Te: 0.250 0.375 0.625
Te: 0.250 0.875 0.125
Te: 0.000 0.500 0.500
Te: 0.875 0.250 0.625
Te: 0.625 0.750 0.875
Te: 0.875 0.625 0.750
Se: 0.722 0.144 0.058
Se: 0.335 0.558 0.413
Se: 0.942 0.356 0.278
Se: 0.558 0.222 0.144
Se: 0.578 0.722 0.665
Se: 0.942 0.587 0.165
Se: 0.335 0.778 0.422
Se: 0.087 0.922 0.144
Se: 0.587 0.942 0.665
Se: 0.722 0.578 0.165
Se: 0.778 0.442 0.356
Se: 0.835 0.913 0.058
Se: 0.144 0.722 0.558
Se: 0.356 0.413 0.078
Se: 0.078 0.913 0.356
Se: 0.422 0.144 0.587
Se: 0.078 0.165 0.222
Se: 0.442 0.665 0.087
Se: 0.835 0.922 0.278
Se: 0.144 0.422 0.087
Se: 0.356 0.942 0.778
Se: 0.587 0.644 0.422
Se: 0.913 0.835 0.558
Se: 0.778 0.335 0.922
Se: 0.413 0.356 0.578
Se: 0.087 0.165 0.442
Se: 0.222 0.665 0.078
Se: 0.165 0.078 0.722
Se: 0.644 0.058 0.222
Se: 0.856 0.578 0.913
Se: 0.558 0.335 0.913
Se: 0.578 0.856 0.413
Se: 0.922 0.835 0.778
Se: 0.922 0.087 0.644
Se: 0.856 0.278 0.442
Se: 0.165 0.087 0.942
Se: 0.644 0.587 0.922
Se: 0.413 0.058 0.335
Se: 0.278 0.422 0.835
Se: 0.222 0.558 0.644
Se: 0.913 0.078 0.856
Se: 0.665 0.222 0.578
Se: 0.442 0.778 0.856
Se: 0.058 0.413 0.835
Se: 0.422 0.278 0.335
Se: 0.058 0.644 0.722
Se: 0.665 0.442 0.587
Se: 0.278 0.856 0.942

Summary:
The energy relative to the elements, uncorrected is -0.499 eV per atom. Its symmetry is No. 230.



5.
# Nd2TeSe

A relaxed Nd2TeSe crystal (GGA-PBE, Alexandria via LeMat-Bulk).

Unit cell a=4.256 b=4.256 c=7.913 alpha=74.40 beta=74.40 gamma=60.00
Positions (direct):
Nd: 0.073 0.073 0.781
Nd: 0.260 0.260 0.220
Te: 0.499 0.499 0.502
Se: 0.668 0.668 0.996

Summary:
The energy relative to the elements, uncorrected is -1.657 eV per atom. The energy above the most stable polymorph in this dataset comes out at 0 meV per atom. Its symmetry is No. 160.



6.
# Nd3Te2Se2

A relaxed Nd3Te2Se2 crystal (GGA-PBE, Alexandria via LeMat-Bulk).

Unit cell a=4.261 b=6.456 c=8.895 alpha=94.87 beta=103.86 gamma=90.00
Positions (direct):
Nd: 0.000 0.000 0.000
Nd: 0.183 0.733 0.366
Nd: 0.817 0.267 0.634
Te: 0.177 0.236 0.354
Te: 0.823 0.764 0.646
Se: 0.432 0.248 0.864
Se: 0.568 0.752 0.136

Summary:
The energy relative to the elements, uncorrected is -1.590 eV per atom. The energy above the most stable polymorph in this dataset comes out at 76 meV per atom. Its symmetry is No. 12.



7.
# NdThTeSe

A relaxed NdThTeSe crystal (GGA-PBE, Alexandria via LeMat-Bulk).

Unit cell a=4.154 b=4.151 c=8.189 alpha=90.00 beta=104.74 gamma=119.96
Positions (direct):
Nd: 0.120 0.958 0.093
Th: 0.486 0.141 0.642
Te: 0.968 0.382 0.365
Se: 0.304 0.550 0.869

Summary:
The energy relative to the elements, uncorrected is -1.440 eV per atom. Its symmetry is No. 160.



8.
# NdThTeSe2

A relaxed NdThTeSe2 crystal (GGA-PBE, Alexandria via LeMat-Bulk).

Unit cell a=4.726 b=4.726 c=7.796 alpha=107.64 beta=107.64 gamma=90.00
Last column: magnetic moment on the atom in μB.
Positions (direct):
Nd: 0.867 0.867 0.734  0.22
Th: 0.130 0.130 0.260  0.32
Te: 0.507 0.507 0.015  -0.01
Se: 0.748 0.248 0.496  0.00
Se: 0.248 0.748 0.496  0.00

Summary:
The energy relative to the elements, uncorrected is -1.323 eV per atom. Its symmetry is No. 107.